Below is a geometry-optimized CsSbTe structure, with properties calculated at the PBE level.

Values from the calculation:
The calculation puts the density at 4.385 g cm⁻³. As for the uncorrected energy: -3.218 eV per atom. The space group is Immm (71). For the uncorrected formation energy, the calculation gives -0.51 eV/atom. Its energy above the most stable polymorph in this dataset is 0.00 kJ/mol of atoms.

Unit cell a=5.479 b=7.787 c=7.786 alpha=77.80 beta=110.64 gamma=110.63
Fractional coordinates of all 6 atoms:
Te 0.500 0.239 0.761
Sb 0.000 0.646 0.354
Cs 0.778 0.777 0.777
Sb 0.000 0.354 0.646
Te 0.500 0.761 0.239
Cs 0.222 0.223 0.223

---

Below is a geometry-optimized Cs4SbTe4 structure, with properties calculated at the PBE level.

Values from the calculation:
The calculation puts the density at 3.133 g cm⁻³. As for the uncorrected energy: -2.953 eV per atom. The space group is I-42m (121). For the uncorrected formation energy, the calculation gives -0.72 eV/atom. Its energy above the most stable polymorph in this dataset is 0.00 kJ/mol of atoms.

Unit cell a=9.921 b=9.921 c=9.921 alpha=79.84 beta=126.03 gamma=126.03
Fractional coordinates of all 9 atoms:
Te 0.634 0.930 0.930
Cs 0.000 0.303 0.303
Te 0.000 0.070 0.704
Cs 0.000 0.697 0.697
Te 0.366 0.296 0.296
Sb 0.000 0.000 0.000
Cs 0.500 0.000 0.500
Cs 0.500 0.500 0.000
Te 0.000 0.704 0.070

---

Below is a geometry-optimized CsSbTe2 structure, with properties calculated at the PBE level.

Values from the calculation:
The calculation puts the density at 4.842 g cm⁻³. As for the uncorrected energy: -3.254 eV per atom. The space group is P1 (1). For the uncorrected formation energy, the calculation gives -0.44 eV/atom.

Unit cell a=4.443 b=4.692 c=9.532 alpha=114.47 beta=103.38 gamma=90.12
Fractional coordinates of all 4 atoms:
Sb 0.463 0.575 0.714
Cs 0.218 0.887 0.221
Te 0.865 0.644 0.518
Te 0.589 0.169 0.960

---

Below is a geometry-optimized CsSbTe3 structure, with properties calculated at the PBE level.

Values from the calculation:
The calculation puts the density at 4.684 g cm⁻³. As for the uncorrected energy: -3.253 eV per atom. The space group is P2_1 (4). For the uncorrected formation energy, the calculation gives -0.37 eV/atom. Its energy above the most stable polymorph in this dataset is 0.00 kJ/mol of atoms.

Unit cell a=7.788 b=7.171 c=8.126 alpha=90.00 beta=95.12 gamma=90.00
Fractional coordinates of all 10 atoms:
Sb 0.064 0.505 0.179
Te 0.920 0.410 0.853
Cs 0.601 0.946 0.250
Cs 0.399 0.446 0.750
Te 0.804 0.442 0.398
Sb 0.936 0.005 0.821
Te 0.551 0.947 0.736
Te 0.196 0.942 0.602
Te 0.449 0.447 0.264
Te 0.080 0.910 0.147

---

Below is a geometry-optimized CsSbTe2 structure, with properties calculated at the PBE level.

Values from the calculation:
The calculation puts the density at 4.202 g cm⁻³. As for the uncorrected energy: -3.336 eV per atom. The space group is P2/c (13). For the uncorrected formation energy, the calculation gives -0.52 eV/atom.

Unit cell a=7.670 b=7.679 c=14.016 alpha=102.50 beta=90.00 gamma=90.00
Fractional coordinates of all 16 atoms:
Cs 0.737 0.957 0.610
Te 0.166 0.534 0.390
Te 0.779 0.077 0.342
Te 0.834 0.034 0.890
Te 0.834 0.466 0.610
Sb 0.808 0.049 0.117
Te 0.221 0.923 0.658
Cs 0.737 0.543 0.890
Cs 0.263 0.043 0.390
Te 0.221 0.577 0.842
Cs 0.263 0.457 0.110
Sb 0.192 0.549 0.617
Te 0.779 0.423 0.158
Sb 0.192 0.951 0.883
Sb 0.808 0.451 0.383
Te 0.166 0.966 0.110

---

Below is a geometry-optimized Cs2SbTe2 structure, with properties calculated at the PBE level.

Values from the calculation:
The calculation puts the density at 4.496 g cm⁻³. As for the uncorrected energy: -3.088 eV per atom. The space group is Cmc2_1 (36). For the uncorrected formation energy, the calculation gives -0.67 eV/atom. Its energy above the most stable polymorph in this dataset is 0.00 kJ/mol of atoms.

Unit cell a=4.553 b=7.446 c=14.709 alpha=90.00 beta=90.00 gamma=107.80
Fractional coordinates of all 10 atoms:
Cs 0.932 0.864 0.135
Te 0.963 0.926 0.392
Cs 0.068 0.136 0.635
Cs 0.316 0.632 0.842
Sb 0.369 0.739 0.499
Te 0.212 0.424 0.118
Te 0.037 0.074 0.892
Te 0.788 0.576 0.618
Sb 0.631 0.261 0.999
Cs 0.684 0.368 0.342